1:
Compound: V4GeC2
Source: the Alexandria database
Functional: PBE
Structure: relaxed

space-group type: No. 63

```
V4GeC2
1.0
3.077 0.000 0.000
-1.539 4.954 0.000
0.000 0.000 10.426
Ge V C
2 8 4
Direct
0.607 0.215 0.750 Ge
0.393 0.785 0.250 Ge
0.241 0.481 0.605 V
0.759 0.519 0.105 V
0.241 0.481 0.895 V
0.500 0.000 0.500 V
0.759 0.519 0.395 V
0.500 0.000 0.000 V
0.912 0.825 0.750 V
0.088 0.175 0.250 V
0.135 0.269 0.060 C
0.865 0.731 0.560 C
0.865 0.731 0.940 C
0.135 0.269 0.440 C
```

=====

2:
Compound: V4GeC2
Source: the Alexandria database
Functional: PBE
Structure: relaxed

space-group type: No. 166

```
V4GeC2
1.0
2.934 0.000 0.000
1.467 2.541 0.000
1.467 0.847 10.930
Ge V C
1 4 2
Direct
0.000 0.000 0.000 Ge
0.269 0.269 0.193 V
0.731 0.731 0.807 V
0.868 0.868 0.396 V
0.132 0.132 0.604 V
0.568 0.568 0.295 C
0.432 0.432 0.705 C
```

=====

Which structure is most stable, and how do the rest compare? From most to least stable: 1, 2.